1.
First-principles (PBE) data for an optimized crystal structure of RbNdP4O12, as listed in OQMD via LeMat-Bulk. Values from VASP.

Cell and atoms, written as Quantum ESPRESSO input:
```
&SYSTEM
  ibrav = 0, nat = 72, ntyp = 4
/
ATOMIC_SPECIES
Rb 85.47 Rb.upf
Nd 144.24 Nd.upf
P 30.97 P.upf
O 16.00 O.upf
CELL_PARAMETERS angstrom
10.401 0.000 0.000
0.000 9.013 0.000
-7.438 0.000 10.483
ATOMIC_POSITIONS crystal
Rb 0.236 0.071 0.045
Rb 0.236 0.429 0.545
Rb 0.764 0.571 0.455
Rb 0.764 0.929 0.955
Nd 0.316 0.728 0.816
Nd 0.316 0.772 0.316
Nd 0.684 0.228 0.684
Nd 0.684 0.272 0.184
P 0.020 0.024 0.271
P 0.020 0.476 0.771
P 0.194 0.606 0.019
P 0.194 0.894 0.519
P 0.318 0.174 0.360
P 0.318 0.326 0.860
P 0.384 0.096 0.740
P 0.384 0.404 0.240
P 0.616 0.596 0.760
P 0.616 0.904 0.260
P 0.682 0.674 0.140
P 0.682 0.826 0.640
P 0.806 0.106 0.481
P 0.806 0.394 0.981
P 0.980 0.524 0.229
P 0.980 0.976 0.729
O 0.032 0.547 0.892
O 0.032 0.953 0.392
O 0.065 0.585 0.709
O 0.065 0.915 0.209
O 0.141 0.591 0.313
O 0.141 0.909 0.813
O 0.149 0.156 0.336
O 0.149 0.344 0.836
O 0.154 0.710 0.088
O 0.154 0.790 0.588
O 0.259 0.051 0.593
O 0.259 0.449 0.093
O 0.268 0.207 0.749
O 0.268 0.293 0.249
O 0.301 0.658 0.985
O 0.301 0.842 0.485
O 0.367 0.035 0.326
O 0.367 0.465 0.826
O 0.422 0.245 0.488
O 0.422 0.255 0.988
O 0.428 0.534 0.326
O 0.428 0.966 0.826
O 0.486 0.685 0.746
O 0.486 0.815 0.246
O 0.514 0.185 0.754
O 0.514 0.315 0.254
O 0.572 0.034 0.174
O 0.572 0.466 0.674
O 0.578 0.745 0.012
O 0.578 0.755 0.512
O 0.633 0.535 0.174
O 0.633 0.965 0.674
O 0.699 0.158 0.515
O 0.699 0.342 0.015
O 0.732 0.707 0.751
O 0.732 0.793 0.251
O 0.741 0.551 0.907
O 0.741 0.949 0.407
O 0.846 0.210 0.412
O 0.846 0.290 0.912
O 0.851 0.656 0.164
O 0.851 0.844 0.664
O 0.859 0.091 0.187
O 0.859 0.409 0.687
O 0.935 0.085 0.791
O 0.935 0.415 0.291
O 0.968 0.047 0.608
O 0.968 0.453 0.108
```

V: 983 Å³/cell
Uncorrected energy: -7.27 eV/atom
Excess energy over the best structure of this formula in the dataset: 0.00 eV/f.u.

=====

2.
First-principles (PBE) data for an optimized crystal structure of Nd2SmZn2Si4Au2, as listed in OQMD via LeMat-Bulk. Values from VASP.

Cell and atoms, written as Quantum ESPRESSO input:
```
&SYSTEM
  ibrav = 0, nat = 11, ntyp = 5
/
ATOMIC_SPECIES
Nd 144.24 Nd.upf
Sm 150.36 Sm.upf
Zn 65.41 Zn.upf
Si 28.09 Si.upf
Au 196.97 Au.upf
CELL_PARAMETERS angstrom
-2.084 2.132 12.566
2.084 -2.132 12.566
2.084 2.132 -12.566
ATOMIC_POSITIONS crystal
Nd 0.147 0.147 0.000
Nd 0.853 0.853 0.000
Sm 0.500 0.000 0.500
Zn 0.250 0.750 0.500
Zn 0.750 0.250 0.500
Si 0.047 0.547 0.500
Si 0.307 0.307 0.000
Si 0.693 0.693 0.000
Si 0.953 0.453 0.500
Au 0.405 0.405 0.000
Au 0.595 0.595 0.000
```

V: 223 Å³/cell
Uncorrected energy: -4.76 eV/atom
Excess energy over the best structure of this formula in the dataset: 0.00 eV/f.u.

=====

3.
First-principles (PBE) data for an optimized crystal structure of LiZnSb, as listed in OQMD via LeMat-Bulk. Values from VASP.

Cell and atoms, written as Quantum ESPRESSO input:
```
&SYSTEM
  ibrav = 0, nat = 12, ntyp = 3
/
ATOMIC_SPECIES
Li 6.94 Li.upf
Zn 65.41 Zn.upf
Sb 121.76 Sb.upf
CELL_PARAMETERS angstrom
7.165 0.000 0.000
0.000 4.315 0.000
0.000 0.000 7.865
ATOMIC_POSITIONS crystal
Li 0.040 0.250 0.206
Li 0.460 0.750 0.706
Li 0.540 0.250 0.294
Li 0.960 0.750 0.794
Zn 0.132 0.250 0.573
Zn 0.368 0.750 0.073
Zn 0.632 0.250 0.927
Zn 0.868 0.750 0.427
Sb 0.242 0.250 0.902
Sb 0.258 0.750 0.402
Sb 0.742 0.250 0.598
Sb 0.758 0.750 0.098
```

V: 243 Å³/cell
Uncorrected energy: -2.75 eV/atom

=====

4.
First-principles (PBE) data for an optimized crystal structure of ZrTlCuS3, as listed in OQMD via LeMat-Bulk. Values from VASP.

Cell and atoms, written as Quantum ESPRESSO input:
```
&SYSTEM
  ibrav = 0, nat = 12, ntyp = 4
/
ATOMIC_SPECIES
Zr 91.22 Zr.upf
Tl 204.38 Tl.upf
Cu 63.55 Cu.upf
S 32.06 S.upf
CELL_PARAMETERS angstrom
1.870 -7.119 0.000
1.870 7.119 0.000
0.000 0.000 9.830
ATOMIC_POSITIONS crystal
Zr 0.000 0.000 0.000
Zr 0.000 0.000 0.500
Tl 0.255 0.745 0.750
Tl 0.745 0.255 0.250
Cu 0.462 0.538 0.250
Cu 0.538 0.462 0.750
S 0.062 0.938 0.250
S 0.377 0.623 0.051
S 0.377 0.623 0.449
S 0.623 0.377 0.551
S 0.623 0.377 0.949
S 0.938 0.062 0.750
```

V: 262 Å³/cell
Uncorrected energy: -5.49 eV/atom